HfIrI3: single point on PBEsol structure, meta-GGA SCAN.

The structure belongs to space group Pm-3m (No. 221); the cell edges are 5.504, 5.504 and 5.504 Å and the angles 90.00°, 90.00° and 90.00°. The inequivalent atoms are Hf at (0.000, 0.000, 0.000), Ir at (0.500, 0.500, 0.500) and I at (0.000, 0.000, 0.500).

The calculation puts the final energy at -47.900 eV per atom. The uncorrected formation energy comes out at 434 kJ/mol of formula units.